Density functional theory data (GGA+U) for a geometry-optimized MnHgO structure.

Cell and atoms, written as extended XYZ:
```
3
Lattice="-3.097 1.218 0.993 1.081 -3.108 1.112 2.545 2.589 4.762" Properties=species:S:1:pos:R:3 pbc="T T T"
Mn -0.432 1.071 3.413
Hg 0.000 0.000 0.001
O 0.961 -0.371 3.453
```

Relative energy among the computed polymorphs = 0 meV per atom
Uncorrected energy = -5.12 eV per atom
Theoretical density = 7.21 g cm⁻³
Space-group type = P-6m2, No. 187
Magnetization = 4.9 μB/cell